# BeReTcRh2

Crystalline BeReTcRh2 at its relaxed geometry (PBE, Alexandria via LeMat-Bulk).

Properties
ΔH_f (0 K) ... 435 meV per atom
DOS(E_F) ... 1.2601 states/eV per atom
Energy above the lowest structure with this stoichiometry ... 0 meV/atom
Raw total energy ... -7.814 eV per atom

Cell: 4.011 4.250 4.011 Å, 90.00 90.00 90.00°
Fractional positions:
Re 0.000 0.500 0.000
Be 0.000 0.000 0.000
Rh 0.000 0.000 0.500
Rh 0.500 0.000 0.000
Tc 0.500 0.500 0.500

=====

# SmPuHfO6

Crystalline SmPuHfO6 at its relaxed geometry (PBE, Alexandria via LeMat-Bulk).

Properties
DOS(E_F) ... 1.0817 states/eV per atom
Raw total energy ... -9.700 eV per atom
ΔE_f (raw) ... -28.55 eV per formula unit

Cell: 5.609 5.609 9.784 Å, 90.00 90.00 120.00°
Each line ends with the local moment (μB).
Fractional positions:
O 0.351 0.357 0.362  -0.06
O 0.006 0.357 0.138  -0.06
O 0.643 0.994 0.362  -0.06
Pu 0.667 0.333 0.250  3.34
O 0.006 0.649 0.362  -0.06
O 0.649 0.006 0.862  -0.06
O 0.994 0.643 0.862  -0.06
Hf 0.667 0.333 0.750  0.01
Sm 0.000 0.000 0.500  0.00
O 0.357 0.006 0.638  -0.06
O 0.351 0.994 0.138  -0.06
O 0.643 0.649 0.138  -0.06
O 0.649 0.643 0.638  -0.06
Hf 0.333 0.667 0.250  0.01
Pu 0.333 0.667 0.750  3.34
O 0.994 0.351 0.638  -0.06
O 0.357 0.351 0.862  -0.06
Sm 0.000 0.000 0.000  0.00

=====

# AcSn2Ru

Crystalline AcSn2Ru at its relaxed geometry (PBE, Alexandria via LeMat-Bulk).

Properties
ΔH_f (0 K) ... -202 meV per atom
DOS(E_F) ... 0.8825 states/eV per atom
Energy above the lowest structure with this stoichiometry ... 279 meV/atom
Raw total energy ... -5.550 eV per atom

Cell: 3.484 3.484 7.923 Å, 90.00 90.00 90.00°
Each line ends with the local moment (μB).
Fractional positions:
Sn 0.000 0.000 0.190  0.00
Ru 0.500 0.500 0.000  0.56
Sn 0.000 0.000 0.810  0.00
Ac 0.500 0.500 0.500  0.04

=====

# AlHSeBr2

Crystalline AlHSeBr2 at its relaxed geometry (PBE, Alexandria via LeMat-Bulk).

Properties
DOS(E_F) ... 0.8031 states/eV per atom
Energy above the lowest structure with this stoichiometry ... 177 meV/atom
Raw total energy ... -2.455 eV per atom

Cell: 5.487 5.487 3.549 Å, 90.00 90.00 90.00°
Each line ends with the local moment (μB).
Fractional positions:
Al 0.500 0.500 0.500  0.00
Br 0.500 0.000 0.000  0.09
Br 0.000 0.500 0.000  0.09
H 0.000 0.000 0.000  0.01
Se 0.000 0.000 0.500  0.32